Ba2Tc (PBE, optimized geometry); relative energy among the computed polymorphs = 0.490 eV/atom; DFT formation energy = 827 meV per atom; DOS at the Fermi energy = 4.25 states/eV/cell; VASP energy = -3.910 eV/atom
1.0
-1.884 1.884 7.686
1.884 -1.884 7.686
1.884 1.884 -7.686
Ba Tc
2 1
direct
0.126 0.126 0.000
0.874 0.874 0.000
0.500 0.500 0.000



BaTc (PBE, optimized geometry); relative energy among the computed polymorphs = 0.218 eV/atom; DFT formation energy = 539 meV per atom; DOS at the Fermi energy = 3.26 states/eV/cell; VASP energy = -5.606 eV/atom
1.0
4.121 0.000 0.000
-2.061 3.569 0.000
0.000 0.000 9.879
Ba Tc
2 2
direct
0.333 0.667 0.210
0.667 0.333 0.790
0.333 0.667 0.519
0.667 0.333 0.481



Ba3Tc (PBE, optimized geometry); relative energy among the computed polymorphs = 0.486 eV/atom; DFT formation energy = 835 meV per atom; DOS at the Fermi energy = 5.98 states/eV/cell; VASP energy = -3.198 eV/atom
1.0
-2.811 2.811 4.817
2.811 -2.811 4.817
2.811 2.811 -4.817
Ba Tc
3 1
direct
0.000 0.000 0.000
0.250 0.750 0.500
0.750 0.250 0.500
0.500 0.500 0.000



BaTc3 (PBE, optimized geometry); relative energy among the computed polymorphs = 1.054 eV/atom; DFT formation energy = 1646 meV per atom; DOS at the Fermi energy = 6.65 states/eV/cell; VASP energy = -6.610 eV/atom
1.0
4.297 0.000 0.000
0.000 4.297 0.000
0.000 0.000 4.297
Ba Tc
1 3
direct
0.000 0.000 0.000
0.000 0.500 0.500
0.500 0.000 0.500
0.500 0.500 0.000



BaTc3 (PBE, optimized geometry); relative energy among the computed polymorphs = 0.233 eV/atom; DFT formation energy = 825 meV per atom; DOS at the Fermi energy = 6.88 states/eV/cell; VASP energy = -7.430 eV/atom
1.0
3.026 0.000 0.000
0.000 3.951 0.000
0.000 0.000 7.281
Ba Tc
1 3
direct
0.000 0.000 0.000
0.000 0.500 0.366
0.500 0.000 0.484
0.500 0.500 0.681



Ba4Tc5 (PBE, optimized geometry); DFT formation energy = 1046 meV per atom; DOS at the Fermi energy = 13.30 states/eV/cell; VASP energy = -5.567 eV/atom
1.0
-6.177 6.177 1.882
6.177 -6.177 1.882
6.177 6.177 -1.882
Ba Tc
4 5
direct
0.000 0.273 0.273
0.000 0.727 0.727
0.273 0.000 0.273
0.727 0.000 0.727
0.000 0.000 0.000
0.290 0.290 0.580
0.290 0.710 0.000
0.710 0.290 0.000
0.710 0.710 0.420